Below is a relaxed structure of PrTlPb2, with properties calculated at the GGA-PBE level.

Summary:
- Calculated formation energy: 8.0 kJ per mole of atoms
- Energy: -3.558 eV/atom
- Total magnetization: 0.0 μB per cell
- Fermi-level density of states: 0.83 states/eV/atom

Lattice parameters (Å, degrees): 3.5339 3.5339 12.5482 81.91 81.91 60.00
Element x y z (fractional)
Pb  0.0890  0.0890  0.7329
Pb  0.9110  0.9110  0.2671
Pr  0.0000  0.0000  0.0000
Tl  0.5000  0.5000  0.5000